An optimized crystal structure of HoAsN2O. Source: OQMD, functional PBE-GGA.

The total energy comes out at -6.98 eV per atom.

The structure belongs to space group C2/m (No. 12); the cell edges are 7.480, 7.535 and 5.334 Å and the angles 90.00°, 133.22° and 90.00°. The inequivalent atoms are Ho at (0.234, 0.000, 0.476), As at (0.250, 0.250, 0.000), N at (0.000, 0.195, 0.000), N at (0.157, 0.500, 0.901) and O at (0.000, 0.191, 0.500).

An optimized crystal structure of HoAsN2O. Source: OQMD, functional PBE-GGA.

The total energy comes out at -6.96 eV per atom.

The structure belongs to space group P6_3cm (No. 185); the cell edges are 6.3262, 6.3262 and 11.2366 Å and the angles 90.00°, 90.00° and 120.00°. The inequivalent atoms are Ho at (0.0000, 0.0000, 0.0000), Ho at (0.3333, 0.6667, 0.4685), As at (0.0000, 0.3338, 0.2319), N at (0.0000, 0.3130, 0.3870), N at (0.0000, 0.3540, 0.0775), O at (0.0000, 0.0000, 0.2103) and O at (0.3333, 0.6667, 0.2499).

An optimized crystal structure of HoAsN2O. Source: OQMD, functional PBE-GGA.

The total energy comes out at -6.80 eV per atom.

The structure belongs to space group P4/mmm (No. 123); the cell edges are 3.772, 3.772 and 3.792 Å and the angles 90.00°, 90.00° and 90.00°. The inequivalent atoms are Ho at (0.000, 0.000, 0.000), As at (0.500, 0.500, 0.500), N at (0.000, 0.500, 0.500) and O at (0.500, 0.500, 0.000).

An optimized crystal structure of HoAsN2O. Source: OQMD, functional PBE-GGA.

The total energy comes out at -7.02 eV per atom.

The structure belongs to space group Pnma (No. 62); the cell edges are 5.363, 7.825 and 5.241 Å and the angles 90.00°, 90.00° and 90.00°. The inequivalent atoms are Ho at (0.062, 0.250, 0.019), As at (0.000, 0.000, 0.500), N at (0.201, 0.548, 0.801) and O at (0.019, 0.750, 0.404).

An optimized crystal structure of HoAsN2O. Source: OQMD, functional PBE-GGA.

The total energy comes out at -7.08 eV per atom.

The structure belongs to space group P2_1/c (No. 14); the cell edges are 7.940, 7.186 and 10.937 Å and the angles 90.00°, 133.01° and 90.00°. The inequivalent atoms are Ho at (0.132, 0.009, 0.422), Ho at (0.202, 0.515, 0.482), As at (0.323, 0.250, 0.292), As at (0.336, 0.742, 0.788), N at (0.198, 0.003, 0.209), N at (0.289, 0.509, 0.312), N at (0.386, 0.227, 0.651), N at (0.408, 0.702, 0.995), O at (0.067, 0.235, 0.782) and O at (0.100, 0.712, 0.051).

An optimized crystal structure of HoAsNO. Source: OQMD, functional PBE-GGA.

As for the offset from the most stable computed form: 0.394 eV/f.u.

The structure belongs to space group Pmc2_1 (No. 26); the cell edges are 3.690, 5.704 and 5.516 Å and the angles 90.00°, 90.00° and 90.00°. The inequivalent atoms are Ho at (0.000, 0.167, 0.000), As at (0.500, 0.349, 0.488), N at (0.000, 0.234, 0.404) and O at (0.500, 0.135, 0.765).